*i*
## SrLiTcOs (PBE)

Data for SrLiTcOs after structural relaxation.

```
SrLiTcOs
1.0
0.0000 3.2854 3.2854
3.2854 0.0000 3.2854
3.2854 3.2854 0.0000
Sr Li Tc Os
1 1 1 1
Direct
0.0000 0.0000 0.0000
0.2500 0.2500 0.2500
0.5000 0.5000 0.5000
0.7500 0.7500 0.7500
```

Properties
The calculation puts the magnetic moment at 0.07 μB/cell. The space-group type is No. 216.

---

*ii*
## SrLiTcOs (PBE)

Data for SrLiTcOs after structural relaxation.

```
SrLiTcOs
1.0
0.0000 3.3407 3.3407
3.3407 0.0000 3.3407
3.3407 3.3407 0.0000
Sr Li Tc Os
1 1 1 1
Direct
0.0000 0.0000 0.0000
0.5000 0.5000 0.5000
0.7500 0.7500 0.7500
0.2500 0.2500 0.2500
```

Properties
The calculation puts the magnetic moment at 3.23 μB/cell. The space-group type is No. 216.

---

Quick one: least stable of them? *ii*